[1]
A relaxed structure of PmGa5Pd7. Source: Alexandria via LeMat-Bulk, functional PBE.

Computed properties:
VASP energy = -4.957 eV per atom

abc: 5.3476 9.0742 8.7997
angles: 90.00 90.00 90.00
Closest atoms and distances in Å follow each position.
Space group Imm2 (No. 44)
Inequivalent atoms, fractional coordinates:
Pm (0.0000, 0.0000, 0.0000) [2 per cell]  10 Pd 2.97-3.30
Ga (0.0000, 0.5000, 0.2679) [2 per cell]  6 Pd 2.67-2.83, 4 Ga 2.73
Ga (0.2460, 0.2591, 0.7414) [8 per cell]  7 Pd 2.56-2.78, 3 Ga 2.63-2.73
Pd (0.0000, 0.0000, 0.3406) [2 per cell]  4 Ga 2.72, 5 Pd 2.83-2.93, 1 Pm 3.00
Pd (0.0000, 0.0000, 0.6620) [2 per cell]  6 Ga 2.78-2.83, 3 Pd 2.83-3.08, 1 Pm 2.97
Pd (0.0000, 0.2918, 0.4828) [4 per cell]  5 Ga 2.56-2.67, 1 Pd 2.82
Pd (0.0000, 0.3413, 0.0040) [4 per cell]  5 Ga 2.65-2.76, 4 Pd 2.88-2.94
Pd (0.0000, 0.5000, 0.7202) [2 per cell]  4 Ga 2.56, 2 Pd 2.82

***

[2]
A relaxed structure of Cd4TeO5. Source: Alexandria via LeMat-Bulk, functional PBE.

Computed properties:
E_form (uncorrected) = -0.793 eV/atom

abc: 8.6340 8.6340 4.1343
angles: 90.00 90.00 90.00
Closest atoms and distances in Å follow each position.
Space group I4 (No. 79)
Inequivalent atoms, fractional coordinates:
Cd (0.1202, 0.6513, 0.0000) [8 per cell]  3 O 2.33-2.36
Te (0.0000, 0.0000, 0.4999) [2 per cell]  6 O 2.06-2.19
O (0.0000, 0.0000, 0.9976) [2 per cell]  2 Te 2.06-2.08
O (0.1162, 0.7750, 0.5000) [8 per cell]  1 Te 2.19, 3 Cd 2.33-2.36

***

[3]
A relaxed structure of SbPtPb2W. Source: Alexandria via LeMat-Bulk, functional PBE.

Computed properties:
E_form (uncorrected) = 0.902 eV/atom

abc: 5.4140 5.4140 4.9325
angles: 90.00 90.00 90.00
Closest atoms and distances in Å follow each position.
Space group P4/mmm (No. 123)
Inequivalent atoms, fractional coordinates:
Sb (0.0000, 0.0000, 0.0000) [1 per cell]  8 Pb 3.66, 4 Pt 3.83
Pt (0.5000, 0.5000, 0.0000) [1 per cell]  2 W 2.47
Pb (0.0000, 0.5000, 0.5000) [2 per cell]  2 W 2.71
W (0.5000, 0.5000, 0.5000) [1 per cell]  2 Pt 2.47, 4 Pb 2.71

***

[4]
A relaxed structure of PuScPaOs. Source: Alexandria via LeMat-Bulk, functional PBE.

Computed properties:
VASP energy = -10.433 eV per atom

abc: 6.8785 6.8785 6.8785
angles: 90.00 90.00 90.00
Closest atoms and distances in Å follow each position.
Space group F-43m (No. 216)
Inequivalent atoms, fractional coordinates:
Pu (0.0000, 0.0000, 0.0000) [4 per cell]  4 Pa 2.98, 4 Sc 2.98
Sc (0.2500, 0.2500, 0.2500) [4 per cell]  4 Os 2.98, 4 Pu 2.98
Pa (0.2500, 0.2500, 0.7500) [4 per cell]  4 Os 2.98, 4 Pu 2.98
Os (0.0000, 0.0000, 0.5000) [4 per cell]  4 Pa 2.98, 4 Sc 2.98

***

[5]
A relaxed structure of FeHgRu2. Source: Alexandria via LeMat-Bulk, functional PBE.

Computed properties:
VASP energy = -6.231 eV per atom

abc: 5.5755 7.4896 2.9350
angles: 90.00 90.00 90.00
Closest atoms and distances in Å follow each position.
Space group Cmmm (No. 65)
Inequivalent atoms, fractional coordinates:
Fe (0.0000, 0.0000, 0.0000) [2 per cell]  8 Ru 2.76, 2 Hg 2.79, 2 Fe 2.93
Hg (0.0000, 0.5000, 0.0000) [2 per cell]  8 Ru 2.76, 2 Fe 2.79, 2 Hg 2.93
Ru (0.2500, 0.2500, 0.5000) [4 per cell]  4 Hg 2.76, 4 Fe 2.76, 4 Ru 2.79-2.93

***

[6]
A relaxed structure of LiPrAl2Pt4. Source: Alexandria via LeMat-Bulk, functional PBE.

Computed properties:
VASP energy = -5.808 eV per atom

abc: 4.2658 4.2658 26.1720
angles: 90.00 90.00 120.00
Closest atoms and distances in Å follow each position.
Space group R-3m (No. 166, hexagonal axes)
Inequivalent atoms, fractional coordinates:
Li (0.0000, 0.0000, 0.0000) [3 per cell]  8 Pt 2.47-2.61
Pr (0.0000, 0.0000, 0.5000) [3 per cell]  6 Pt 3.10
Al (0.0000, 0.0000, 0.2659) [6 per cell]  7 Pt 2.56-2.64
Pt (0.0000, 0.0000, 0.0945) [6 per cell]  1 Li 2.47, 3 Al 2.56
Pt (0.0000, 0.0000, 0.3669) [6 per cell]  3 Li 2.61, 4 Al 2.62-2.64

***

[7]
A relaxed structure of AlCdBO4. Source: Alexandria via LeMat-Bulk, functional PBE.

Computed properties:
E_form (uncorrected) = -2.106 eV/atom

abc: 6.0127 8.6662 5.6755
angles: 90.00 90.00 90.00
Closest atoms and distances in Å follow each position.
Space group Cmcm (No. 63)
Inequivalent atoms, fractional coordinates:
Al (0.0000, 0.1356, 0.2500) [4 per cell]  4 O 1.80-1.81
Cd (0.0000, 0.5000, 0.0000) [4 per cell]  6 O 2.33
B (0.0000, 0.1416, 0.7500) [4 per cell]  4 O 1.48-1.55
O (0.0000, 0.2324, 0.5299) [8 per cell]  1 B 1.48
O (0.1944, 0.0234, 0.7500) [8 per cell]  1 B 1.55

***

[8]
A relaxed structure of ZrOs. Source: Alexandria via LeMat-Bulk, functional PBE.

Computed properties:
VASP energy = -9.668 eV per atom

abc: 2.8641 2.8641 10.0894
angles: 90.00 90.00 120.00
Closest atoms and distances in Å follow each position.
Space group P-3m1 (No. 164)
Inequivalent atoms, fractional coordinates:
Zr (0.3333, 0.6667, 0.3523) [2 per cell]  6 Zr 2.86, 3 Os 3.02
Os (0.3333, 0.6667, 0.8987) [2 per cell]  9 Os 2.63-2.86

***

[9]
A relaxed structure of YNbBrO4. Source: Alexandria via LeMat-Bulk, functional PBE.

Computed properties:
E_form (uncorrected) = -2.505 eV/atom

abc: 12.5029 6.4536 6.9967
angles: 90.00 104.73 90.00
Closest atoms and distances in Å follow each position.
Space group C2/m (No. 12)
Inequivalent atoms, fractional coordinates:
Y (0.2083, 0.0000, 0.3449) [4 per cell]  4 O 2.21-2.25
Nb (0.1260, 0.0000, 0.7542) [4 per cell]  4 O 1.85-1.91
Br (0.0144, 0.5000, 0.1692) [4 per cell]  1 Br 2.30
O (0.0266, 0.0000, 0.2930) [4 per cell]  1 Nb 1.85
O (0.1812, 0.2196, 0.6227) [8 per cell]  1 Nb 1.91
O (0.1897, 0.0000, 0.0229) [4 per cell]  1 Nb 1.85

***

[10]
A relaxed structure of Cr2Co. Source: Alexandria via LeMat-Bulk, functional PBE.

Computed properties:
VASP energy = -8.599 eV per atom

abc: 2.4582 3.5670 7.7026
angles: 90.00 90.00 90.00
Closest atoms and distances in Å follow each position.
Space group Immm (No. 71)
Inequivalent atoms, fractional coordinates:
Cr (0.0000, 0.0000, 0.1639) [4 per cell]  7 Cr 2.46-2.54, 5 Co 2.51-2.59
Co (0.0000, 0.0000, 0.5000) [2 per cell]  2 Co 2.46, 10 Cr 2.51-2.59

***

[11]
A relaxed structure of TaPd2Ru. Source: Alexandria via LeMat-Bulk, functional PBE.

Computed properties:
VASP energy = -8.233 eV per atom

abc: 3.8631 3.8631 4.0948
angles: 90.00 90.00 90.00
Closest atoms and distances in Å follow each position.
Space group P4/mmm (No. 123)
Inequivalent atoms, fractional coordinates:
Ta (0.0000, 0.0000, 0.0000) [1 per cell]  4 Ru 2.73, 8 Pd 2.81
Pd (0.0000, 0.5000, 0.5000) [2 per cell]  4 Pd 2.73, 4 Ta 2.81, 4 Ru 2.81
Ru (0.5000, 0.5000, 0.0000) [1 per cell]  4 Ta 2.73, 8 Pd 2.81

***

[12]
A relaxed structure of SbTeAs2. Source: Alexandria via LeMat-Bulk, functional PBE.

Computed properties:
E_form (uncorrected) = 0.430 eV/atom

abc: 4.0761 4.0761 12.1174
angles: 90.00 90.00 90.00
Closest atoms and distances in Å follow each position.
Space group I-4m2 (No. 119)
Inequivalent atoms, fractional coordinates:
Sb (0.0000, 0.0000, 0.0000) [2 per cell]  4 As 2.88
Te (0.0000, 0.5000, 0.7500) [2 per cell]  4 As 2.88
As (0.0000, 0.0000, 0.5000) [2 per cell]  4 Sb 2.88
As (0.0000, 0.5000, 0.2500) [2 per cell]  4 Te 2.88

***

[13]
A relaxed structure of Pm3Si3Pd. Source: Alexandria via LeMat-Bulk, functional PBE.

Computed properties:
E_form (uncorrected) = -0.430 eV/atom

abc: 8.5976 8.5976 5.8621
angles: 90.00 90.00 120.00
Closest atoms and distances in Å follow each position.
Space group P6_3/m (No. 176)
Inequivalent atoms, fractional coordinates:
Pm (0.0820, 0.6972, 0.2500) [6 per cell]  5 Si 2.93-3.05
Si (0.0805, 0.7091, 0.7500) [6 per cell]  1 Pd 2.38
Pd (0.3333, 0.6667, 0.7500) [2 per cell]  3 Si 2.38

***

[14]
A relaxed structure of LiAgSn2. Source: Alexandria via LeMat-Bulk, functional PBE.

Computed properties:
VASP energy = -3.314 eV per atom

abc: 7.0272 7.0272 7.0272
angles: 90.00 90.00 90.00
Closest atoms and distances in Å follow each position.
Space group Fm-3m (No. 225)
Inequivalent atoms, fractional coordinates:
Li (0.0000, 0.0000, 0.0000) [4 per cell]  8 Sn 3.04
Ag (0.0000, 0.0000, 0.5000) [4 per cell]  8 Sn 3.04
Sn (0.2500, 0.2500, 0.2500) [8 per cell]  4 Li 3.04, 4 Ag 3.04

***

[15]
A relaxed structure of CaZr2BW. Source: Alexandria via LeMat-Bulk, functional PBE.

Computed properties:
VASP energy = -7.534 eV per atom

abc: 4.8765 4.8765 4.2500
angles: 90.00 90.00 90.00
Closest atoms and distances in Å follow each position.
Space group P4/mmm (No. 123)
Inequivalent atoms, fractional coordinates:
Ca (0.0000, 0.0000, 0.0000) [1 per cell]  8 Zr 3.23, 4 W 3.45
Zr (0.0000, 0.5000, 0.5000) [2 per cell]  2 B 2.44
B (0.5000, 0.5000, 0.5000) [1 per cell]  2 W 2.13
W (0.5000, 0.5000, 0.0000) [1 per cell]  2 B 2.13

***

[16]
A relaxed structure of Ac2Pm5Y4. Source: Alexandria via LeMat-Bulk, functional PBE.

Computed properties:
VASP energy = -5.223 eV per atom

abc: 3.7112 9.0167 12.1811
angles: 104.76 98.73 90.03
Closest atoms and distances in Å follow each position.
Space group P-1 (No. 2)
Inequivalent atoms, fractional coordinates:
Ac (0.0902, 0.2261, 0.1819) [2 per cell]  5 Pm 3.70-3.74, 5 Y 3.70-3.73, 2 Ac 3.71
Pm (0.0000, 0.5000, 0.0000) [1 per cell]  4 Y 3.65, 6 Pm 3.69-3.71, 2 Ac 3.70
Pm (0.2703, 0.6851, 0.5414) [2 per cell]  3 Y 3.61-3.67, 7 Pm 3.62-3.78, 2 Ac 3.71-3.72
Pm (0.3627, 0.4029, 0.7257) [2 per cell]  3 Y 3.57-3.63, 7 Pm 3.62-3.78, 2 Ac 3.73-3.74
Y (0.1829, 0.9533, 0.3651) [2 per cell]  5 Pm 3.61-3.67, 6 Y 3.63-3.71, 1 Ac 3.70
Y (0.4521, 0.1417, 0.9038) [2 per cell]  3 Pm 3.57-3.65, 5 Y 3.63-3.87, 4 Ac 3.71-3.73

***

[17]
A relaxed structure of NpTl3Bi2S6. Source: Alexandria via LeMat-Bulk, functional PBE.

Computed properties:
E_form (uncorrected) = -0.607 eV/atom

abc: 7.1407 12.3670 7.8905
angles: 90.00 107.53 90.00
Closest atoms and distances in Å follow each position.
Space group C2/m (No. 12)
Inequivalent atoms, fractional coordinates:
Np (0.0000, 0.0000, 0.0000) [2 per cell]  6 S 2.78-2.79
Tl (0.0000, 0.1676, 0.5000) [4 per cell]  6 S 3.24-3.30
Tl (0.0000, 0.5000, 0.5000) [2 per cell]  6 S 3.24-3.30
Bi (0.0000, 0.3334, 0.0000) [4 per cell]  6 S 2.86
S (0.2303, 0.1625, 0.2039) [8 per cell]  1 Np 2.78, 2 Bi 2.86
S (0.2436, 0.5000, 0.2054) [4 per cell]  1 Np 2.79, 2 Bi 2.86

***

[18]
A relaxed structure of Ba2IrW. Source: Alexandria via LeMat-Bulk, functional PBE.

Computed properties:
VASP energy = -5.160 eV per atom

abc: 3.8758 4.1165 7.3409
angles: 90.00 90.00 90.00
Closest atoms and distances in Å follow each position.
Space group Pmmm (No. 47)
Inequivalent atoms, fractional coordinates:
Ba (0.0000, 0.0000, 0.2307) [2 per cell]  4 Ir 3.30, 1 Ba 3.39, 4 W 3.45
Ir (0.5000, 0.5000, 0.0000) [1 per cell]  8 Ba 3.30, 2 W 3.67
W (0.5000, 0.5000, 0.5000) [1 per cell]  8 Ba 3.45, 2 Ir 3.67

***

[19]
A relaxed structure of Cs3NpSc3Te8. Source: Alexandria via LeMat-Bulk, functional PBE.

Computed properties:
E_form (uncorrected) = -1.128 eV/atom

abc: 14.9827 8.6522 10.3236
angles: 90.00 118.98 90.00
Closest atoms and distances in Å follow each position.
Space group C2/m (No. 12)
Inequivalent atoms, fractional coordinates:
Cs (0.0000, 0.0000, 0.0000) [2 per cell]  6 Te 3.82
Cs (0.2500, 0.2500, 0.0000) [4 per cell]  6 Te 3.82
Np (0.0000, 0.0000, 0.5000) [2 per cell]  6 Te 3.07
Sc (0.0000, 0.5000, 0.5000) [2 per cell]  6 Te 2.96-2.98
Sc (0.2500, 0.2500, 0.5000) [4 per cell]  6 Te 2.96-2.98
Te (0.0248, 0.2587, 0.3159) [8 per cell]  2 Sc 2.96, 1 Np 3.07
Te (0.2267, 0.5000, 0.6796) [4 per cell]  3 Sc 2.98
Te (0.2340, 0.0000, 0.6841) [4 per cell]  2 Sc 2.96, 1 Np 3.07

***

[20]
A relaxed structure of SrCdPb. Source: Alexandria via LeMat-Bulk, functional PBE.

Computed properties:
VASP energy = -2.391 eV per atom

abc: 3.9197 3.9197 12.4287
angles: 90.00 90.00 90.00
Closest atoms and distances in Å follow each position.
Space group I4mm (No. 107)
Inequivalent atoms, fractional coordinates:
Sr (0.0000, 0.0000, 0.0000) [2 per cell]  4 Cd 3.49, 5 Pb 3.64-3.85
Cd (0.0000, 0.0000, 0.6710) [2 per cell]  4 Pb 3.26, 4 Sr 3.49
Pb (0.0000, 0.0000, 0.3096) [2 per cell]  4 Cd 3.26, 4 Sr 3.64

***

[21]
A relaxed structure of Zr2BeHg. Source: Alexandria via LeMat-Bulk, functional PBE.

Computed properties:
VASP energy = -5.251 eV per atom

abc: 3.3744 3.3744 24.4846
angles: 90.00 90.00 120.00
Closest atoms and distances in Å follow each position.
Space group R-3m (No. 166, hexagonal axes)
Inequivalent atoms, fractional coordinates:
Zr (0.0000, 0.0000, 0.2355) [6 per cell]  3 Be 2.58
Be (0.0000, 0.0000, 0.5000) [3 per cell]  6 Zr 2.58
Hg (0.0000, 0.0000, 0.0000) [3 per cell]  6 Zr 3.09, 6 Hg 3.37

***

[22]
A relaxed structure of Rb3Pm2ThTe6. Source: Alexandria via LeMat-Bulk, functional PBE.

Computed properties:
E_form (uncorrected) = -1.328 eV/atom

abc: 7.9320 13.7379 9.0375
angles: 90.00 107.01 90.00
Closest atoms and distances in Å follow each position.
Space group C2/m (No. 12)
Inequivalent atoms, fractional coordinates:
Rb (0.0000, 0.0000, 0.0000) [2 per cell]  6 Te 3.66-3.68
Rb (0.0000, 0.3321, 0.0000) [4 per cell]  6 Te 3.66-3.67
Pm (0.0000, 0.1665, 0.5000) [4 per cell]  6 Te 3.20
Th (0.0000, 0.5000, 0.5000) [2 per cell]  6 Te 3.17
Te (0.2340, 0.3347, 0.7064) [8 per cell]  1 Th 3.17, 2 Pm 3.20
Te (0.2387, 0.0000, 0.7068) [4 per cell]  1 Th 3.17, 2 Pm 3.20

***

[23]
A relaxed structure of TeIr. Source: Alexandria via LeMat-Bulk, functional PBE.

Computed properties:
E_form (uncorrected) = 0.226 eV/atom

abc: 12.8744 3.6713 6.4123
angles: 90.00 119.34 90.00
Closest atoms and distances in Å follow each position.
Space group Cm (No. 8)
Inequivalent atoms, fractional coordinates:
Te (0.0000, 0.0000, 0.0000) [2 per cell]  5 Ir 2.63-2.81
Te (0.1332, 0.0000, 0.6469) [2 per cell]  1 Ir 2.51
Te (0.3310, 0.0000, 0.3694) [2 per cell]  5 Ir 2.54-2.77
Ir (0.1750, 0.5000, 0.0421) [2 per cell]  6 Te 2.77-2.96, 2 Ir 2.99
Ir (0.2933, 0.5000, 0.6020) [2 per cell]  3 Te 2.56-2.63
Ir (0.3433, 0.0000, 0.9861) [2 per cell]  4 Te 2.51-2.70

***

[24]
A relaxed structure of K3Li2Pb4. Source: Alexandria via LeMat-Bulk, functional PBE.

Computed properties:
VASP energy = -2.592 eV per atom

abc: 4.9935 7.0992 10.2114
angles: 104.14 90.23 110.52
Closest atoms and distances in Å follow each position.
Space group P-1 (No. 2)
Inequivalent atoms, fractional coordinates:
K (0.0000, 0.0000, 0.0000) [1 per cell]  8 Pb 3.79-4.06, 4 Li 4.23-4.24
K (0.3725, 0.7428, 0.6084) [2 per cell]  6 Pb 3.65-3.94, 2 Li 3.78-3.94
Li (0.3416, 0.6816, 0.2139) [2 per cell]  5 Pb 2.92-3.06
Pb (0.0820, 0.1679, 0.6458) [2 per cell]  2 Li 2.92, 2 Pb 3.22
Pb (0.2757, 0.5543, 0.9133) [2 per cell]  3 Li 2.96-3.06, 3 Pb 3.22-3.25

***

[25]
A relaxed structure of Ti2InCu. Source: Alexandria via LeMat-Bulk, functional PBE.

Computed properties:
VASP energy = -5.361 eV per atom

abc: 3.9141 3.9141 17.8110
angles: 90.00 90.00 120.00
Closest atoms and distances in Å follow each position.
Space group R3m (No. 160, hexagonal axes)
Inequivalent atoms, fractional coordinates:
Ti (0.0000, 0.0000, 0.0000) [3 per cell]  3 Cu 2.54
Ti (0.0000, 0.0000, 0.2168) [3 per cell]  3 Cu 2.44
In (0.0000, 0.0000, 0.4387) [3 per cell]  1 Cu 2.91, 6 Ti 2.94-3.01
Cu (0.0000, 0.0000, 0.6020) [3 per cell]  6 Ti 2.44-2.54

***

Spin magnetization? In order: 0.00; 0.00; 0.00; 6.44; 3.99; 0.00; 0.00; 0.00; 0.00; 0.00; 0.00; 0.00; 0.00; 0.00; 0.00; 0.00; 3.91; 4.15; 2.99; 0.00; 0.00; 0.00; 0.00; 0.00; 0.00 μB/f.u..